Entry 1:
Crystalline La2PdRu at its relaxed geometry, computed with PBE.

Computed properties:
- SG = P4/mmm, No. 123
- E (eV/atom) = -6.570
- D(E_F) (states/eV/f.u.) = 1.03
- crystal system = tetragonal
- formation energy from the elements (eV/atom) = -0.489

Geometry as POSCAR:
```
La2PdRu
1.0
3.5573 0.0000 0.0000
0.0000 3.5573 0.0000
0.0000 0.0000 7.4661
Ru Pd La
1 1 2
direct
0.5000 0.5000 0.0000 Ru
0.5000 0.5000 0.5000 Pd
0.0000 0.0000 0.7608 La
0.0000 0.0000 0.2392 La
```

=====

Entry 2:
Crystalline MgCuTc2 at its relaxed geometry, computed with PBE.

Computed properties:
- SG = C2/m, No. 12
- E (eV/atom) = -6.358
- D(E_F) (states/eV/f.u.) = 3.06
- crystal system = monoclinic
- formation energy from the elements (eV/atom) = 0.247

Geometry as POSCAR:
```
MgCuTc2
1.0
5.2314 0.0120 0.0422
-2.2773 4.6177 -0.0267
0.6768 0.6891 2.4229
Cu Mg Tc
1 1 2
direct
0.0000 0.5000 0.5000 Cu
0.5000 0.5000 0.0000 Mg
0.0000 0.0000 0.0000 Tc
0.5000 0.0000 0.5000 Tc
```

=====

Entry 3:
Crystalline Li3MgO at its relaxed geometry, computed with PBE.

Computed properties:
- SG = Pm-3m, No. 221
- E (eV/atom) = -3.240
- E above lowest polymorph (meV/atom) = 0.0
- formation energy (no corrections) (eV per atom) = -0.781
- D(E_F) (states/eV/f.u.) = 2.89
- crystal system = cubic

Geometry as POSCAR:
```
Li3MgO
1.0
4.0964 0.0000 0.0000
0.0000 4.0964 0.0000
0.0000 0.0000 4.0964
Mg O Li
1 1 3
direct
0.5000 0.5000 0.5000 Mg
0.0000 0.0000 0.0000 O
0.0000 0.5000 0.0000 Li
0.0000 0.0000 0.5000 Li
0.5000 0.0000 0.0000 Li
```

=====

Entry 4:
Crystalline BaPaTaO6 at its relaxed geometry, computed with PBE.

Computed properties:
- SG = P-31c, No. 163
- E (eV/atom) = -9.139
- formation energy (no corrections) (eV per atom) = -3.248
- D(E_F) (states/eV/f.u.) = 0.00
- crystal system = trigonal

Geometry as POSCAR:
```
BaPaTaO6
1.0
-2.3185 3.4540 3.9136
3.3092 -4.3573 1.6384
9.0451 6.6706 -0.5285
Ba Pa Ta O
2 2 2 12
direct
0.0000 0.0000 0.0000 Ba
0.0000 0.0000 0.5000 Ba
0.3333 0.6667 0.2500 Pa
0.6667 0.3333 0.7500 Pa
0.6667 0.3333 0.2500 Ta
0.3333 0.6667 0.7500 Ta
0.6283 0.6063 0.1511 O
0.9780 0.3717 0.1511 O
0.3717 0.9780 0.6511 O
0.0220 0.6283 0.8489 O
0.3937 0.3717 0.3489 O
0.9780 0.6063 0.3489 O
0.6063 0.9780 0.8489 O
0.6283 0.0220 0.3489 O
0.0220 0.3937 0.6511 O
0.3937 0.0220 0.1511 O
0.6063 0.6283 0.6511 O
0.3717 0.3937 0.8489 O
```

=====

Entry 5:
Crystalline K2SnAu2O6 at its relaxed geometry, computed with PBE.

Computed properties:
- SG = R-3m, No. 166
- E (eV/atom) = -4.566
- formation energy (no corrections) (eV per atom) = -0.702
- D(E_F) (states/eV/f.u.) = 5.85
- crystal system = trigonal

Geometry as POSCAR:
```
K2SnAu2O6
1.0
6.1621 0.0000 0.0000
3.0811 5.3365 0.0000
3.0811 1.7788 5.9957
K Sn Au O
2 1 2 6
direct
0.7920 0.7920 0.6241 K
0.2080 0.2080 0.3759 K
0.0000 0.0000 0.0000 Sn
0.4039 0.4039 0.7883 Au
0.5961 0.5961 0.2117 Au
0.7764 0.7764 0.2338 O
0.2133 0.7764 0.2338 O
0.7764 0.2133 0.2338 O
0.2236 0.7867 0.7662 O
0.7867 0.2236 0.7662 O
0.2236 0.2236 0.7662 O
```

=====

Entry 6:
Crystalline NdSm6Y3Er2 at its relaxed geometry, computed with PBE.

Computed properties:
- SG = C2/m, No. 12
- E (eV/atom) = -5.119
- D(E_F) (states/eV/f.u.) = 15.21
- crystal system = monoclinic
- formation energy from the elements (eV/atom) = 0.015

Geometry as POSCAR:
```
NdSm6Y3Er2
1.0
6.2379 0.0003 0.0156
-3.1171 5.4032 0.0156
-1.0659 -1.8457 11.6944
Nd Sm Y Er
1 6 3 2
direct
0.0000 0.0000 0.0000 Nd
0.9163 0.5821 0.7500 Sm
0.7494 0.7494 0.2498 Sm
0.0837 0.4179 0.2500 Sm
0.5821 0.9163 0.7500 Sm
0.2506 0.2506 0.7502 Sm
0.4179 0.0837 0.2500 Sm
0.1670 0.8330 0.5000 Y
0.8330 0.1670 0.5000 Y
0.5000 0.5000 0.5000 Y
0.3334 0.6666 0.0000 Er
0.6666 0.3334 0.0000 Er
```

=====

Entry 7:
Crystalline FeMo2HRu at its relaxed geometry, computed with PBE.

Computed properties:
- SG = P4/mmm, No. 123
- E (eV/atom) = -8.440
- E above lowest polymorph (meV/atom) = 39.0
- D(E_F) (states/eV/f.u.) = 3.74
- crystal system = tetragonal

Geometry as POSCAR:
```
FeMo2HRu
1.0
3.9298 0.0000 0.0000
0.0000 3.9298 0.0000
0.0000 0.0000 3.8543
Ru Mo Fe H
1 2 1 1
direct
0.0000 0.0000 0.5000 Ru
0.0000 0.5000 0.0000 Mo
0.5000 0.0000 0.0000 Mo
0.5000 0.5000 0.5000 Fe
0.0000 0.0000 0.0000 H
```

=====

Entry 8:
Crystalline YFe2Sb at its relaxed geometry, computed with PBE.

Computed properties:
- SG = R3m, No. 160
- E (eV/atom) = -7.126
- formation energy (no corrections) (eV per atom) = -0.248
- D(E_F) (states/eV/f.u.) = 3.02
- crystal system = trigonal

Geometry as POSCAR:
```
YFe2Sb
1.0
4.0519 0.0114 -0.0127
2.0164 3.5146 -0.0127
2.0355 1.1827 5.4088
Fe Sb Y
2 1 1
direct
0.0475 0.0475 0.8576 Fe
0.7233 0.7233 0.8303 Fe
0.4641 0.4641 0.6073 Sb
0.2651 0.2651 0.2048 Y
```

=====

Entry 9:
Crystalline SmTmPu2P4 at its relaxed geometry, computed with PBE.

Computed properties:
- SG = P2/m, No. 10
- E (eV/atom) = -8.768
- D(E_F) (states/eV/f.u.) = 23.81
- crystal system = monoclinic
- formation energy from the elements (eV/atom) = -1.332

Geometry as POSCAR:
```
SmTmPu2P4
1.0
-2.8743 -0.2375 2.7960
1.1130 -6.8248 0.5646
4.0577 3.4009 4.4602
Sm Tm Pu P
1 1 2 4
direct
0.0000 0.0000 0.0000 Sm
0.5000 0.5000 0.0000 Tm
0.5000 0.0000 0.5000 Pu
0.0000 0.5000 0.5000 Pu
0.5000 0.2588 0.2575 P
0.5000 0.7412 0.7425 P
0.0000 0.2527 0.7464 P
0.0000 0.7473 0.2536 P
```

=====

Entry 10:
Crystalline Lu3AlNi8 at its relaxed geometry, computed with PBE.

Computed properties:
- SG = P6_3/mmc, No. 194
- E (eV/atom) = -5.815
- E above lowest polymorph (meV/atom) = 0.0
- D(E_F) (states/eV/f.u.) = 8.25
- crystal system = hexagonal
- formation energy from the elements (eV/atom) = -0.519

Geometry as POSCAR:
```
Lu3AlNi8
1.0
4.9896 0.0000 0.0000
-2.4948 4.3211 0.0000
0.0000 0.0000 15.9138
Lu Al Ni
6 2 16
direct
0.3333 0.6667 0.9587 Lu
0.6667 0.3333 0.0413 Lu
0.6667 0.3333 0.4587 Lu
0.3333 0.6667 0.5413 Lu
0.3333 0.6667 0.7500 Lu
0.6667 0.3333 0.2500 Lu
0.3333 0.6667 0.2500 Al
0.6667 0.3333 0.7500 Al
0.1666 0.8334 0.3744 Ni
0.1666 0.3331 0.3744 Ni
0.6669 0.8334 0.3744 Ni
0.8334 0.1666 0.6256 Ni
0.8334 0.6669 0.6256 Ni
0.3331 0.1666 0.6256 Ni
0.8334 0.1666 0.8744 Ni
0.8334 0.6669 0.8744 Ni
0.3331 0.1666 0.8744 Ni
0.1666 0.8334 0.1256 Ni
0.1666 0.3331 0.1256 Ni
0.6669 0.8334 0.1256 Ni
0.0000 0.0000 0.2500 Ni
0.0000 0.0000 0.7500 Ni
0.0000 0.0000 0.5000 Ni
0.0000 0.0000 0.0000 Ni
```

=====

Entry 11:
Crystalline PmDy2Tl3Se6 at its relaxed geometry, computed with PBE.

Computed properties:
- SG = C2/m, No. 12
- E (eV/atom) = -4.882
- formation energy (no corrections) (eV per atom) = -1.386
- crystal system = monoclinic

Geometry as POSCAR:
```
PmDy2Tl3Se6
1.0
7.3141 -0.0005 0.0002
-3.6557 6.3349 0.0002
-1.2198 -2.1121 7.7683
Pm Dy Tl Se
1 2 3 6
direct
0.0000 0.0000 0.0000 Pm
0.3333 0.6667 0.0000 Dy
0.6667 0.3333 0.0000 Dy
0.1654 0.8346 0.5000 Tl
0.8346 0.1654 0.5000 Tl
0.5000 0.5000 0.5000 Tl
0.9312 0.5913 0.7937 Se
0.7284 0.7284 0.2049 Se
0.0688 0.4087 0.2063 Se
0.5913 0.9312 0.7937 Se
0.2716 0.2716 0.7951 Se
0.4087 0.0688 0.2063 Se
```

=====

Entry 12:
Crystalline PmDy2TlC at its relaxed geometry, computed with PBE.

Computed properties:
- SG = P4/mmm, No. 123
- E (eV/atom) = -5.511
- D(E_F) (states/eV/f.u.) = 1.91
- crystal system = tetragonal
- formation energy from the elements (eV/atom) = -0.402

Geometry as POSCAR:
```
PmDy2TlC
1.0
-2.2298 2.1260 -4.0445
-2.4623 -4.1899 -0.8449
-3.6864 1.5882 2.8672
Pm Dy Tl C
1 2 1 1
direct
0.5000 0.0000 0.0000 Pm
0.0000 0.0000 0.5000 Dy
0.0000 0.5000 0.0000 Dy
0.5000 0.5000 0.5000 Tl
0.0000 0.0000 0.0000 C
```